[1]
PBE-GGA LiCS, optimized geometry; crystal system = monoclinic; E_form (uncorrected) = -0.21 eV per atom; DOS at the Fermi energy = 0.000 states/eV per cell
1.0
-2.089 -2.938 -1.085
2.753 -1.186 -2.278
2.376 -2.762 5.583
C Li S
2 2 2
direct
0.085 0.085 0.576 C
0.915 0.915 0.424 C
0.776 0.776 0.784 Li
0.224 0.224 0.216 Li
0.284 0.284 0.797 S
0.716 0.716 0.203 S


[2]
PBE-GGA Ge2B2S, optimized geometry; crystal system = tetragonal; E_form (uncorrected) = 0.76 eV per atom; DOS at the Fermi energy = 1.939 states/eV per cell
1.0
-3.975 0.687 -0.275
0.231 -0.276 -4.027
-2.588 -3.845 -1.915
Ge B S
2 2 1
direct
0.750 0.250 0.500 Ge
0.250 0.750 0.500 Ge
0.398 0.398 0.204 B
0.602 0.602 0.796 B
0.000 0.000 0.000 S


[3]
PBE-GGA LiTaS2, optimized geometry; crystal system = monoclinic; E_form (uncorrected) = -1.11 eV per atom; DOS at the Fermi energy = 0.663 states/eV per cell
1.0
3.336 0.000 0.000
0.000 5.260 0.600
-0.001 -0.359 7.550
Li Ta S
2 2 4
direct
0.411 0.707 0.094 Li
0.909 0.197 0.888 Li
0.911 0.129 0.385 Ta
0.411 0.775 0.597 Ta
0.911 0.713 0.843 S
0.410 0.192 0.139 S
0.411 0.249 0.611 S
0.911 0.656 0.371 S


[4]
PBE-GGA HgPbBr2F, optimized geometry; crystal system = tetragonal; E_form (uncorrected) = -0.61 eV per atom; DOS at the Fermi energy = 3.253 states/eV per cell
1.0
5.728 0.000 0.000
0.000 4.441 0.000
0.000 0.000 5.728
Pb Hg Br F
1 1 2 1
direct
0.500 0.500 0.500 Pb
0.000 0.000 0.000 Hg
0.000 0.000 0.500 Br
0.500 0.000 0.000 Br
0.000 0.500 0.000 F


[5]
PBE-GGA Rb5AuBr2O, optimized geometry; crystal system = orthorhombic; E_form (uncorrected) = -1.11 eV per atom
1.0
-1.265 1.666 3.977
10.172 -4.709 2.670
6.180 11.687 -2.930
Rb Au Br O
10 2 4 2
direct
0.356 0.712 0.008 Rb
0.729 0.458 0.876 Rb
0.500 0.000 0.758 Rb
0.271 0.541 0.640 Rb
0.885 0.769 0.509 Rb
0.644 0.288 0.508 Rb
0.271 0.542 0.376 Rb
0.500 0.000 0.258 Rb
0.729 0.459 0.140 Rb
0.115 0.231 0.009 Rb
0.507 0.014 0.008 Au
0.493 0.986 0.508 Au
0.873 0.746 0.781 Br
0.126 0.253 0.736 Br
0.127 0.254 0.281 Br
0.874 0.747 0.236 Br
0.765 0.530 0.508 O
0.235 0.470 0.008 O


[6]
PBE-GGA Cd2TePb, optimized geometry; crystal system = orthorhombic; E_form (uncorrected) = 0.00 eV per atom; DOS at the Fermi energy = 1.253 states/eV per cell
1.0
-3.840 1.309 0.622
-1.926 -4.626 -2.153
0.014 -2.127 4.559
Pb Te Cd
1 1 2
direct
0.500 0.000 0.500 Pb
0.000 0.500 0.500 Te
0.000 0.000 0.000 Cd
0.500 0.500 0.000 Cd


[7]
PBE-GGA La2IrRu, optimized geometry; ΔE_f = -0.323 eV per atom; crystal system = monoclinic; DOS at the Fermi energy = 2.622 states/eV per cell
1.0
4.989 0.006 -0.005
-0.013 4.989 -0.005
0.011 0.011 3.674
Ir La Ru
1 2 1
direct
0.000 0.500 0.500 Ir
0.000 0.000 0.000 La
0.500 0.500 0.000 La
0.500 0.000 0.500 Ru


[8]
PBE-GGA TiAl2Zn2, optimized geometry; ΔE_f = -0.007 eV per atom; crystal system = tetragonal; DOS at the Fermi energy = 5.498 states/eV per cell
1.0
-4.707 -2.925 4.905
-0.431 -6.156 -4.084
2.227 -1.128 1.465
Zn Al Ti
4 4 2
direct
0.168 0.668 0.500 Zn
0.668 0.832 0.500 Zn
0.832 0.332 0.500 Zn
0.332 0.168 0.500 Zn
0.369 0.869 0.000 Al
0.869 0.631 0.000 Al
0.631 0.131 0.000 Al
0.131 0.369 0.000 Al
0.000 0.000 0.000 Ti
0.500 0.500 0.000 Ti


[9]
PBE-GGA Zn2CrAg, optimized geometry; ΔE_f = 0.207 eV per atom; crystal system = trigonal; DOS at the Fermi energy = 2.722 states/eV per cell
1.0
-2.421 -3.070 -8.240
-3.735 -4.925 -6.706
-4.920 -2.514 -7.256
Ag Cr Zn
1 1 2
direct
0.250 0.250 0.250 Ag
0.750 0.750 0.750 Cr
0.005 0.005 0.005 Zn
0.495 0.495 0.495 Zn


[10]
PBE-GGA TbZr2H, optimized geometry; crystal system = trigonal; DOS at the Fermi energy = 4.966 states/eV per cell
1.0
-0.044 2.678 -1.769
-2.727 0.956 -1.397
-2.959 5.940 6.154
H Tb Zr
1 1 2
direct
0.500 0.500 0.500 H
0.000 0.000 0.000 Tb
0.117 0.117 0.650 Zr
0.883 0.883 0.350 Zr


[11]
PBE-GGA BaZnO3, optimized geometry; crystal system = cubic; E_form (uncorrected) = 0.02 eV per atom; DOS at the Fermi energy = 2.292 states/eV per cell
1.0
-1.414 4.245 -0.701
-2.051 -0.016 4.038
3.782 1.579 1.928
Zn Ba O
1 1 3
direct
0.500 0.500 0.500 Zn
0.000 0.000 0.000 Ba
0.000 0.500 0.000 O
0.000 0.000 0.500 O
0.500 0.000 0.000 O


[12]
PBE-GGA TiFeSb2I, optimized geometry; crystal system = tetragonal; E_form (uncorrected) = 0.73 eV per atom; DOS at the Fermi energy = 7.930 states/eV per cell
1.0
-3.304 3.520 2.117
-2.925 -3.924 1.959
3.009 0.056 4.604
I Sb Fe Ti
1 2 1 1
direct
0.000 0.000 0.500 I
0.000 0.500 0.000 Sb
0.500 0.000 0.000 Sb
0.500 0.500 0.500 Fe
0.000 0.000 0.000 Ti


[13]
PBE-GGA InCoIr2, optimized geometry; ΔE_f = 0.131 eV per atom; crystal system = tetragonal; DOS at the Fermi energy = 4.081 states/eV per cell
1.0
-1.439 -2.424 0.079
2.409 -1.419 0.368
-0.737 0.681 7.452
Co In Ir
1 1 2
direct
0.000 0.000 0.481 Co
0.500 0.500 0.736 In
0.000 0.000 0.018 Ir
0.500 0.500 0.264 Ir


In eV/atom, the electronic total energy values for the records above are, in order, -5.303; -4.581; -6.612; -2.455; -2.939; -2.169; -7.321; -3.593; -3.549; -6.187; -3.590; -4.502; -6.761.